Record 1
## La3Pm4NdSe8 (PBE)

Data for La3Pm4NdSe8 after structural relaxation.

Geometry as POSCAR:
```
La3Pm4NdSe8
1.0
4.247 2.452 6.927
-4.247 2.452 6.927
0.000 -4.904 6.927
La Pm Nd Se
3 4 1 8
direct
0.000 0.500 0.500 La
0.500 0.000 0.500 La
0.500 0.500 0.000 La
0.000 0.000 0.500 Pm
0.000 0.500 0.000 Pm
0.500 0.000 0.000 Pm
0.500 0.500 0.500 Pm
0.000 0.000 0.000 Nd
0.246 0.749 0.749 Se
0.247 0.247 0.247 Se
0.251 0.251 0.754 Se
0.251 0.754 0.251 Se
0.749 0.246 0.749 Se
0.749 0.749 0.246 Se
0.753 0.753 0.753 Se
0.754 0.251 0.251 Se
```

Properties
Symmetry: R-3m (166)
Calculated total energy in eV/atom: -6.049



Record 2
## La3PmNd4Se8 (PBE)

Data for La3PmNd4Se8 after structural relaxation.

Geometry as POSCAR:
```
La3PmNd4Se8
1.0
4.263 2.461 6.942
-4.263 2.461 6.942
0.000 -4.922 6.942
La Pm Nd Se
3 1 4 8
direct
0.000 0.500 0.500 La
0.500 0.000 0.500 La
0.500 0.500 0.000 La
0.000 0.000 0.000 Pm
0.000 0.000 0.500 Nd
0.000 0.500 0.000 Nd
0.500 0.000 0.000 Nd
0.500 0.500 0.500 Nd
0.246 0.751 0.751 Se
0.248 0.248 0.248 Se
0.249 0.249 0.754 Se
0.249 0.754 0.249 Se
0.751 0.246 0.751 Se
0.751 0.751 0.246 Se
0.752 0.752 0.752 Se
0.754 0.249 0.249 Se
```

Properties
Symmetry: R-3m (166)
Calculated total energy in eV/atom: -6.053